Density functional theory data (GGA+U) for an optimized crystal structure of MnTlP2O.

Summary:
The total DFT energy (no corrections) comes out at -4.1644 eV per atom. The calculation puts the polymorph energy (0 for the lowest one) at 470 meV per atom.

Cell and atoms, written as CIF:
```
data_MnTlP2O
_space_group_name_H-M_alt 'P 4/m m m'
_space_group_IT_number 123
_space_group_name_Hall '-P 4 2'
_cell_length_a 5.100
_cell_length_b 5.100
_cell_length_c 4.033
_cell_angle_alpha 90.00
_cell_angle_beta 90.00
_cell_angle_gamma 90.00
loop_
_atom_site_label
_atom_site_fract_x
_atom_site_fract_y
_atom_site_fract_z
Mn1 0.000 0.000 0.000
Tl1 0.500 0.500 0.500
P1 0.000 0.500 0.500
O1 0.500 0.500 0.000
```

Density functional theory data (GGA+U) for an optimized crystal structure of MnTlPO4.

Summary:
The total DFT energy (no corrections) comes out at -6.8660 eV per atom.

Cell and atoms, written as CIF:
```
data_MnTlPO4
_space_group_name_H-M_alt 'P 1 21/m 1'
_space_group_IT_number 11
_cell_length_a 5.445
_cell_length_b 5.673
_cell_length_c 7.585
_cell_angle_alpha 90.00
_cell_angle_beta 107.50
_cell_angle_gamma 90.00
loop_
_space_group_symop_operation_xyz
'x,y,z'
'-x,-y,-z'
'-x,y+1/2,-z'
'x,-y+1/2,z'
loop_
_atom_site_label
_atom_site_fract_x
_atom_site_fract_y
_atom_site_fract_z
Mn1 0.208 0.250 0.039
Tl1 0.310 0.250 0.591
P1 0.250 0.750 0.858
O1 0.064 0.532 0.832
O2 0.415 0.750 0.723
O3 0.441 0.750 0.057
```

Density functional theory data (GGA+U) for an optimized crystal structure of MnTlPO2.

Summary:
The total DFT energy (no corrections) comes out at -4.6321 eV per atom. The calculation puts the polymorph energy (0 for the lowest one) at 784 meV per atom.

Cell and atoms, written as CIF:
```
data_MnTlPO2
_space_group_name_H-M_alt 'P 4/m m m'
_space_group_IT_number 123
_space_group_name_Hall '-P 4 2'
_cell_length_a 4.122
_cell_length_b 4.122
_cell_length_c 5.476
_cell_angle_alpha 90.00
_cell_angle_beta 90.00
_cell_angle_gamma 90.00
loop_
_atom_site_label
_atom_site_fract_x
_atom_site_fract_y
_atom_site_fract_z
Mn1 0.000 0.000 0.000
Tl1 0.500 0.500 0.500
P1 0.500 0.500 0.000
O1 0.000 0.500 0.500
```

Density functional theory data (GGA+U) for an optimized crystal structure of MnTlP2O.

Summary:
The total DFT energy (no corrections) comes out at -4.6348 eV per atom. The calculation puts the polymorph energy (0 for the lowest one) at 0 meV per atom.

Cell and atoms, written as CIF:
```
data_MnTlP2O
_space_group_name_H-M_alt 'P 4/m m m'
_space_group_IT_number 123
_space_group_name_Hall '-P 4 2'
_cell_length_a 4.841
_cell_length_b 4.841
_cell_length_c 3.473
_cell_angle_alpha 90.00
_cell_angle_beta 90.00
_cell_angle_gamma 90.00
loop_
_atom_site_label
_atom_site_fract_x
_atom_site_fract_y
_atom_site_fract_z
Mn1 0.000 0.000 0.000
Tl1 0.500 0.500 0.500
P1 0.000 0.500 0.000
O1 0.000 0.000 0.500
```

Density functional theory data (GGA+U) for an optimized crystal structure of MnV3P4O16.

Summary:
The total DFT energy (no corrections) comes out at -7.4979 eV per atom.

Cell and atoms, written as CIF:
```
data_MnV3P4O16
_space_group_name_H-M_alt 'P 1 m 1'
_space_group_IT_number 6
_cell_length_a 4.916
_cell_length_b 5.890
_cell_length_c 10.050
_cell_angle_alpha 90.00
_cell_angle_beta 90.70
_cell_angle_gamma 90.00
loop_
_space_group_symop_operation_xyz
'x,y,z'
'x,-y,z'
loop_
_atom_site_label
_atom_site_fract_x
_atom_site_fract_y
_atom_site_fract_z
Mn1 0.000 0.000 0.000
V1 0.075 0.500 0.456
V2 0.493 0.500 0.944
V3 0.574 0.000 0.495
P1 0.140 0.000 0.322
P2 0.474 0.000 0.814
P3 0.645 0.500 0.631
P4 0.930 0.500 0.124
O1 0.199 0.000 0.176
O2 0.234 0.500 0.090
O3 0.289 0.204 0.397
O4 0.335 0.209 0.890
O5 0.339 0.500 0.605
O6 0.386 0.000 0.669
O7 0.711 0.500 0.781
O8 0.770 0.301 0.053
O9 0.779 0.000 0.831
O10 0.791 0.296 0.559
O11 0.837 0.000 0.351
O12 0.901 0.500 0.275
```

Density functional theory data (GGA+U) for an optimized crystal structure of MnVPO2.

Summary:
The total DFT energy (no corrections) comes out at -6.4052 eV per atom. The calculation puts the polymorph energy (0 for the lowest one) at 550 meV per atom.

Cell and atoms, written as CIF:
```
data_MnVPO2
_space_group_name_H-M_alt 'P 4/m m m'
_space_group_IT_number 123
_space_group_name_Hall '-P 4 2'
_cell_length_a 3.689
_cell_length_b 3.689
_cell_length_c 5.014
_cell_angle_alpha 90.00
_cell_angle_beta 90.00
_cell_angle_gamma 90.00
loop_
_atom_site_label
_atom_site_fract_x
_atom_site_fract_y
_atom_site_fract_z
Mn1 0.000 0.000 0.000
V1 0.500 0.500 0.500
P1 0.000 0.000 0.500
O1 0.000 0.500 0.000
```

Number 1: magnetization 3.7 Bohr magnetons per cell. Number 2: magnetization 10.0 Bohr magnetons per cell. Number 3: magnetization 4.1 Bohr magnetons per cell. Number 4: magnetization 0.0 Bohr magnetons per cell. Number 5: magnetization 8.0 Bohr magnetons per cell. Number 6: magnetization 5.1 Bohr magnetons per cell.